1.
CuNiSb2 | PBE-GGA | optimized geometry Values from VASP.

- Space group: Pmmm (47)
- Energy relative to the elements, uncorrected: 224 meV per atom
- D(E_F): 2.435 states/eV/f.u.
- Energy above the most stable polymorph in this dataset: 0.376 eV per atom
- Theoretical density: 8.241 g/cm³

Structure (Quantum ESPRESSO input):
```
&SYSTEM
  ibrav = 0, nat = 4, ntyp = 3
/
ATOMIC_SPECIES
Cu 63.55 Cu.upf
Ni 58.69 Ni.upf
Sb 121.76 Sb.upf
CELL_PARAMETERS angstrom
3.628 0.000 0.000
0.000 4.330 0.000
0.000 0.000 4.692
ATOMIC_POSITIONS angstrom
Cu 0.000 0.000 0.000
Ni 0.000 2.165 2.346
Sb 1.814 0.000 2.346
Sb 1.814 2.165 0.000
```

=====

2.
CuNiSb | PBE-GGA | optimized geometry Values from VASP.

- Space group: Pnma (62)
- Energy relative to the elements, uncorrected: 15 meV per atom
- D(E_F): 2.131 states/eV/f.u.
- Theoretical density: 8.194 g/cm³

Structure (Quantum ESPRESSO input):
```
&SYSTEM
  ibrav = 0, nat = 12, ntyp = 3
/
ATOMIC_SPECIES
Cu 63.55 Cu.upf
Ni 58.69 Ni.upf
Sb 121.76 Sb.upf
CELL_PARAMETERS angstrom
7.134 0.000 0.000
0.000 4.259 0.000
0.000 0.000 6.510
ATOMIC_POSITIONS angstrom
Cu 1.733 1.065 0.483
Cu 1.834 3.194 3.738
Cu 5.300 1.065 2.772
Cu 5.401 3.194 6.027
Ni 0.729 1.065 2.930
Ni 2.838 3.194 6.185
Ni 4.296 1.065 0.325
Ni 6.405 3.194 3.580
Sb 0.544 3.194 1.374
Sb 3.023 1.065 4.629
Sb 4.111 3.194 1.881
Sb 6.590 1.065 5.136
```

=====

3.
Cu2NiSb | PBE-GGA | optimized geometry Values from VASP.

- Space group: P4/mmm (123)
- Energy relative to the elements, uncorrected: 20 meV per atom
- D(E_F): 3.199 states/eV/f.u.
- Theoretical density: 9.033 g/cm³

Structure (Quantum ESPRESSO input):
```
&SYSTEM
  ibrav = 0, nat = 4, ntyp = 3
/
ATOMIC_SPECIES
Cu 63.55 Cu.upf
Ni 58.69 Ni.upf
Sb 121.76 Sb.upf
CELL_PARAMETERS angstrom
3.778 0.000 0.000
0.000 3.778 0.000
0.000 0.000 3.961
ATOMIC_POSITIONS angstrom
Cu 0.000 1.889 0.000
Cu 1.889 0.000 0.000
Ni 0.000 0.000 1.981
Sb 1.889 1.889 1.981
```

=====

4.
Cu2NiSb | PBE-GGA | optimized geometry Values from VASP.

- Space group: C2/m (12)
- Energy relative to the elements, uncorrected: 168 meV per atom
- D(E_F): 1.658 states/eV/f.u.
- Theoretical density: 8.445 g/cm³

Structure (Quantum ESPRESSO input):
```
&SYSTEM
  ibrav = 0, nat = 8, ntyp = 3
/
ATOMIC_SPECIES
Cu 63.55 Cu.upf
Ni 58.69 Ni.upf
Sb 121.76 Sb.upf
CELL_PARAMETERS angstrom
5.182 0.000 0.000
0.000 9.255 0.000
-1.853 0.000 2.522
ATOMIC_POSITIONS angstrom
Cu 1.295 2.314 0.000
Cu 1.295 6.942 0.000
Cu 3.886 2.314 0.000
Cu 3.886 6.942 0.000
Ni 0.000 0.000 0.000
Ni 2.591 4.628 0.000
Sb 0.000 4.628 0.000
Sb 2.591 0.000 0.000
```

=====

5.
CuNi2Sb | PBE-GGA | optimized geometry Values from VASP.

- Space group: R3m (160)
- Energy relative to the elements, uncorrected: 387 meV per atom
- D(E_F): 4.374 states/eV/f.u.
- Theoretical density: 8.221 g/cm³

Structure (Quantum ESPRESSO input):
```
&SYSTEM
  ibrav = 0, nat = 12, ntyp = 3
/
ATOMIC_SPECIES
Cu 63.55 Cu.upf
Ni 58.69 Ni.upf
Sb 121.76 Sb.upf
CELL_PARAMETERS angstrom
3.083 0.000 0.000
-1.541 2.670 0.000
0.000 0.000 22.285
ATOMIC_POSITIONS angstrom
Cu 0.000 0.000 0.000
Cu 0.000 1.780 14.856
Cu 1.541 0.890 7.428
Ni 0.000 0.000 5.690
Ni 0.000 0.000 11.433
Ni 0.000 1.780 4.005
Ni 0.000 1.780 20.546
Ni 1.541 0.890 13.118
Ni 1.541 0.890 18.861
Sb 0.000 0.000 17.031
Sb 0.000 1.780 9.603
Sb 1.541 0.890 2.175
```

=====

6.
CuNi15Sb4 | PBE-GGA | optimized geometry Values from VASP.

- Space group: P4/mmm (123)
- Energy relative to the elements, uncorrected: -113 meV per atom
- D(E_F): 12.817 states/eV/f.u.
- Theoretical density: 9.490 g/cm³

Structure (Quantum ESPRESSO input):
```
&SYSTEM
  ibrav = 0, nat = 20, ntyp = 3
/
ATOMIC_SPECIES
Cu 63.55 Cu.upf
Ni 58.69 Ni.upf
Sb 121.76 Sb.upf
CELL_PARAMETERS angstrom
3.708 0.000 0.000
0.000 3.708 0.000
0.000 0.000 18.206
ATOMIC_POSITIONS angstrom
Cu 0.000 0.000 0.000
Ni 0.000 1.854 1.662
Ni 0.000 1.854 5.386
Ni 0.000 1.854 9.103
Ni 0.000 1.854 12.819
Ni 0.000 1.854 16.544
Ni 1.854 0.000 1.662
Ni 1.854 0.000 5.386
Ni 1.854 0.000 9.103
Ni 1.854 0.000 12.819
Ni 1.854 0.000 16.544
Ni 1.854 1.854 0.000
Ni 1.854 1.854 3.589
Ni 1.854 1.854 7.259
Ni 1.854 1.854 10.946
Ni 1.854 1.854 14.617
Sb 0.000 0.000 3.445
Sb 0.000 0.000 7.224
Sb 0.000 0.000 10.981
Sb 0.000 0.000 14.761
```

=====

7.
CuNi2Sb | PBE-GGA | optimized geometry Values from VASP.

- Space group: P4/mmm (123)
- Energy relative to the elements, uncorrected: -60 meV per atom
- D(E_F): 2.642 states/eV/f.u.
- Theoretical density: 9.304 g/cm³

Structure (Quantum ESPRESSO input):
```
&SYSTEM
  ibrav = 0, nat = 4, ntyp = 3
/
ATOMIC_SPECIES
Cu 63.55 Cu.upf
Ni 58.69 Ni.upf
Sb 121.76 Sb.upf
CELL_PARAMETERS angstrom
3.856 0.000 0.000
0.000 3.856 0.000
0.000 0.000 3.634
ATOMIC_POSITIONS angstrom
Cu 0.000 0.000 0.000
Ni 0.000 1.928 1.817
Ni 1.928 0.000 1.817
Sb 1.928 1.928 0.000
```

=====

8.
Cu2NiSb | PBE-GGA | optimized geometry Values from VASP.

- Space group: I4/mmm (139)
- Energy relative to the elements, uncorrected: 16 meV per atom
- D(E_F): 1.241 states/eV/f.u.
- Theoretical density: 9.060 g/cm³

Structure (Quantum ESPRESSO input):
```
&SYSTEM
  ibrav = 0, nat = 8, ntyp = 3
/
ATOMIC_SPECIES
Cu 63.55 Cu.upf
Ni 58.69 Ni.upf
Sb 121.76 Sb.upf
CELL_PARAMETERS angstrom
3.771 0.000 0.000
0.000 3.771 0.000
0.000 0.000 7.929
ATOMIC_POSITIONS angstrom
Cu 0.000 1.885 1.982
Cu 0.000 1.885 5.947
Cu 1.885 0.000 1.982
Cu 1.885 0.000 5.947
Ni 0.000 0.000 0.000
Ni 1.885 1.885 3.965
Sb 0.000 0.000 3.965
Sb 1.885 1.885 0.000
```

=====

Which value of theoretical density does entry 7 give?
9.304 g/cm³